1.
This record from the Open Quantum Materials Database describes a relaxed BeCuBr4 crystal. The functional is PBE.

a b c (Å): 6.9048 6.9048 3.3959
angles (deg): 90.00 90.00 91.80
Fractional positions:
Be1 0.5000 0.5000 0.0000
Cu1 0.0000 0.0000 0.5000
Br1 0.6594 0.3406 0.5000
Br2 0.1772 0.1772 0.0000
Br3 0.3406 0.6594 0.5000
Br4 0.8228 0.8228 0.0000

Computed properties:
E	-2.817	eV per atom

2.
This record from the Open Quantum Materials Database describes a relaxed HfBe3Br crystal. The functional is PBE.

a b c (Å): 6.6333 6.6333 4.7576
angles (deg): 90.00 90.00 120.00
Fractional positions:
Be1 0.5565 0.1130 0.7500
Be2 0.8870 0.4435 0.7500
Be3 0.5565 0.4435 0.7500
Hf1 0.6667 0.3333 0.2500
Be4 0.4435 0.8870 0.2500
Be5 0.1130 0.5565 0.2500
Hf2 0.3333 0.6667 0.7500
Br1 0.0000 0.0000 0.7500
Be6 0.4435 0.5565 0.2500
Br2 0.0000 0.0000 0.2500

Computed properties:
E	-3.801	eV per atom

3.
This record from the Open Quantum Materials Database describes a relaxed Be3IrC crystal. The functional is PBE.

a b c (Å): 3.5777 3.5777 3.5777
angles (deg): 90.00 90.00 90.00
Fractional positions:
Be1 0.0000 0.5000 0.0000
Ir1 0.5000 0.5000 0.5000
Be2 0.5000 0.0000 0.0000
Be3 0.0000 0.0000 0.5000
C1 0.0000 0.0000 0.0000

Computed properties:
E	-5.614	eV per atom

4.
This record from the Open Quantum Materials Database describes a relaxed Be4Nb3C crystal. The functional is PBE.

a b c (Å): 4.7706 4.7706 4.7706
angles (deg): 90.00 90.00 90.00
Fractional positions:
C1 0.0000 0.0000 0.0000
Nb1 0.5000 0.0000 0.5000
Be1 0.0000 0.0000 0.5000
Be2 0.5000 0.0000 0.0000
Be3 0.0000 0.5000 0.0000
Nb2 0.0000 0.5000 0.5000
Nb3 0.5000 0.5000 0.0000
Be4 0.5000 0.5000 0.5000

Computed properties:
E	-5.630	eV per atom

5.
This record from the Open Quantum Materials Database describes a relaxed BeNb3C crystal. The functional is PBE.

a b c (Å): 3.2242 8.2333 5.4825
angles (deg): 90.00 107.08 90.00
Fractional positions:
C1 0.5000 0.5000 0.0000
Nb1 0.5655 0.2500 0.1303
Nb2 0.8645 0.4406 0.7285
C2 0.5000 0.0000 0.0000
Be1 0.2433 0.2500 0.4864
Nb3 0.4345 0.7500 0.8697
Nb4 0.1355 0.5594 0.2715
Be2 0.7567 0.7500 0.5136
Nb5 0.1355 0.9406 0.2715
Nb6 0.8645 0.0594 0.7285

Computed properties:
E	-9.009	eV per atom
excess energy over the best structure of this formula in the dataset	0.000	eV per atom

6.
This record from the Open Quantum Materials Database describes a relaxed BeNb3C crystal. The functional is PBE.

a b c (Å): 4.2544 4.2544 4.2544
angles (deg): 90.00 90.00 90.00
Fractional positions:
Be1 0.0000 0.0000 0.0000
Nb1 0.5000 0.0000 0.5000
Nb2 0.0000 0.5000 0.5000
C1 0.5000 0.5000 0.5000
Nb3 0.5000 0.5000 0.0000

Computed properties:
E	-8.573	eV per atom
excess energy over the best structure of this formula in the dataset	0.436	eV per atom